Compound: LiNd3Pa3Se8
Source: the Alexandria database
Functional: PBE
Structure: optimized geometry

Summary:
ΔE_f (raw): -2209 kJ/mol of formula units
Electronic total energy: -6.365 eV/atom

abc: 8.1778 8.1754 8.3442
angles: 119.29 90.00 120.03
Positions (direct):
Pa1 0.5000 0.0000 0.5000
Pa2 0.0000 0.5000 0.5000
Pa3 0.5000 0.5000 0.5000
Se1 0.2459 0.9924 0.7384
Se2 0.7478 0.4955 0.7433
Se3 0.7541 0.0076 0.2616
Se4 0.2535 0.0076 0.2617
Se5 0.2522 0.5045 0.2567
Se6 0.7465 0.9924 0.7383
Se7 0.2458 0.4916 0.7383
Se8 0.7542 0.5084 0.2617
Li1 0.0000 0.0000 0.5000
Nd1 0.5000 0.5000 0.0000
Nd2 0.0000 0.5000 0.0000
Nd3 0.0000 0.0000 0.0000